Entry 1:
A relaxed Tb6Pr3Nd crystal, computed with PBE-GGA.

Cell lengths 10.0034, 10.0034, 6.9867 Å; angles 44.28, 44.28, 60.00 degrees
Closest atoms and distances in Å follow each position.
Element x y z (fractional)
Tb  0.9257  0.6008  0.1992  2 Pr 3.26-3.52, 1 Nd 3.51
Tb  0.2743  0.9257  0.1992  2 Pr 3.26-3.52, 1 Nd 3.51
Tb  0.6008  0.2743  0.1992  2 Pr 3.26-3.52, 1 Nd 3.51
Tb  0.0997  0.4263  0.6993  2 Pr 3.26-3.52, 1 Nd 3.51
Tb  0.7747  0.0997  0.6993  2 Pr 3.26-3.52, 1 Nd 3.51
Tb  0.4263  0.7747  0.6993  2 Pr 3.26-3.52, 1 Nd 3.51
Pr  0.3495  0.3495  0.9514  2 Pr 2.95
Pr  0.6001  0.6001  0.1998  1 Nd 2.94, 1 Pr 2.95, 3 Tb 3.26
Pr  0.0993  0.0993  0.7022  1 Nd 2.94, 1 Pr 2.95, 3 Tb 3.26
Nd  0.8496  0.8496  0.4511  2 Pr 2.94

Values from the calculation:
* energy above the most stable polymorph in this dataset: 136.9 meV per atom
* ΔH_f (0 K): 282 meV/atom
* electronic total energy: -4.407 eV/atom
* volume: 34.1 A^3/atom
* SG: No. 146

Entry 2:
A relaxed Tb5Pr2Nd crystal, computed with PBE-GGA.

Cell lengths 10.0292, 6.5729, 10.9855 Å; angles 119.40, 117.16, 90.00 degrees
Closest atoms and distances in Å follow each position.
Element x y z (fractional)
Tb  0.4880  0.4470  0.8019  3 Pr 3.37-3.54, 1 Nd 3.55, 5 Tb 3.68-3.76
Tb  0.9409  0.7500  0.0000  4 Pr 3.20-3.54, 2 Tb 3.49
Tb  0.0591  0.2500  0.0000  4 Pr 3.20-3.54, 2 Tb 3.49
Tb  0.8924  0.6290  0.6050  1 Pr 3.51, 2 Nd 3.51-3.53, 7 Tb 3.68-3.79
Tb  0.1076  0.3710  0.3950  1 Pr 3.51, 2 Nd 3.51-3.53, 7 Tb 3.68-3.79
Tb  0.7126  0.1290  0.6050  1 Pr 3.51, 2 Nd 3.51-3.53, 7 Tb 3.68-3.79
Tb  0.2874  0.8710  0.3950  1 Pr 3.51, 2 Nd 3.51-3.53, 7 Tb 3.68-3.79
Tb  0.5120  0.5530  0.1981  3 Pr 3.37-3.54, 1 Nd 3.55, 5 Tb 3.68-3.76
Tb  0.3139  0.9470  0.8019  3 Pr 3.37-3.54, 1 Nd 3.55, 5 Tb 3.68-3.76
Tb  0.6861  0.0530  0.1981  3 Pr 3.37-3.54, 1 Nd 3.55, 5 Tb 3.68-3.76
Pr  0.1753  0.4595  0.8450  1 Nd 3.04, 2 Tb 3.20-3.37, 1 Pr 3.32
Pr  0.6697  0.9595  0.8450  1 Nd 3.04, 2 Tb 3.20-3.37, 1 Pr 3.32
Pr  0.8247  0.5405  0.1550  1 Nd 3.04, 2 Tb 3.20-3.37, 1 Pr 3.32
Pr  0.3303  0.0405  0.1550  1 Nd 3.04, 2 Tb 3.20-3.37, 1 Pr 3.32
Nd  0.0000  0.0000  0.5000  2 Pr 3.04
Nd  0.5000  0.5000  0.5000  2 Pr 3.04

Values from the calculation:
* energy above the most stable polymorph in this dataset: 149.6 meV per atom
* ΔH_f (0 K): 167 meV/atom
* electronic total energy: -4.518 eV/atom
* volume: 33.6 A^3/atom
* SG: No. 15

Entry 3:
A relaxed Tb12Pr2Nd crystal, computed with PBE-GGA.

Cell lengths 6.7143, 6.7143, 24.9519 Å; angles 90.00, 90.00, 116.23 degrees
Closest atoms and distances in Å follow each position.
Element x y z (fractional)
Tb  0.5000  0.5000  0.8001  7 Tb 3.20-3.55
Tb  0.0000  0.0000  0.8001  7 Tb 3.20-3.55
Tb  0.7489  0.7511  0.9212  2 Nd 3.46-3.47, 8 Tb 3.50-3.58
Tb  0.2490  0.7490  0.8722  8 Tb 3.37-3.58, 2 Nd 3.64-3.66
Tb  0.0000  0.0000  0.3282  5 Tb 3.20-3.55
Tb  0.2510  0.7510  0.1278  8 Tb 3.37-3.58, 2 Nd 3.64-3.66
Tb  0.7370  0.2370  0.5831  7 Tb 3.31-3.61
Tb  0.5000  0.5000  0.3282  5 Tb 3.20-3.55
Tb  0.2511  0.2489  0.9212  2 Nd 3.46-3.47, 8 Tb 3.50-3.58
Tb  0.7511  0.7489  0.0788  2 Nd 3.46-3.47, 8 Tb 3.50-3.58
Tb  0.2345  0.2655  0.5608  5 Tb 3.06-3.31
Tb  0.7630  0.2630  0.4169  7 Tb 3.31-3.61
Tb  0.0000  0.0000  0.6718  5 Tb 3.20-3.55
Tb  0.2655  0.2345  0.4392  5 Tb 3.06-3.31
Tb  0.2489  0.2511  0.0788  2 Nd 3.46-3.47, 8 Tb 3.50-3.58
Tb  0.7345  0.7655  0.4392  5 Tb 3.06-3.31
Tb  0.7655  0.7345  0.5608  5 Tb 3.06-3.31
Tb  0.0000  0.0000  0.1999  7 Tb 3.20-3.55
Tb  0.2630  0.7630  0.5831  7 Tb 3.31-3.61
Tb  0.5000  0.5000  0.6718  5 Tb 3.20-3.55
Tb  0.7510  0.2510  0.8722  8 Tb 3.37-3.58, 2 Nd 3.64-3.66
Tb  0.5000  0.5000  0.1999  7 Tb 3.20-3.55
Tb  0.2370  0.7370  0.4169  7 Tb 3.31-3.61
Tb  0.7490  0.2490  0.1278  8 Tb 3.37-3.58, 2 Nd 3.64-3.66
Pr  0.5000  0.0000  0.2723  2 Pr 3.55, 8 Tb 3.63-3.81
Pr  0.0000  0.5000  0.2663  2 Pr 3.55, 10 Tb 3.70-3.89
Pr  0.0000  0.5000  0.7277  2 Pr 3.55, 8 Tb 3.63-3.81
Pr  0.5000  0.0000  0.7337  2 Pr 3.55, 10 Tb 3.70-3.89
Nd  0.5000  0.0000  0.0003  8 Tb 3.46-3.66, 2 Nd 3.55
Nd  0.0000  0.5000  0.9997  8 Tb 3.46-3.66, 2 Nd 3.55

Values from the calculation:
* ΔH_f (0 K): 160 meV/atom
* electronic total energy: -4.500 eV/atom
* volume: 33.6 A^3/atom
* SG: No. 67

Entry 4:
A relaxed Tb3Pr5Nd3 crystal, computed with PBE-GGA.

Cell lengths 3.5188, 11.4073, 11.4073 Å; angles 120.00, 90.00, 90.00 degrees
Closest atoms and distances in Å follow each position.
Element x y z (fractional)
Tb  0.0000  0.4058  0.4058  2 Pr 3.29, 2 Nd 3.37, 2 Tb 3.52
Tb  0.0000  0.5942  0.0000  2 Pr 3.29, 2 Nd 3.37, 2 Tb 3.52
Tb  0.0000  0.0000  0.5942  2 Pr 3.29, 2 Nd 3.37, 2 Tb 3.52
Pr  0.5000  0.3333  0.6667  2 Pr 3.52, 3 Nd 3.75, 6 Tb 3.89
Pr  0.5000  0.6667  0.3333  2 Pr 3.52, 3 Nd 3.75, 6 Tb 3.89
Pr  0.5000  0.1624  0.1624  4 Pr 3.21-3.52, 2 Tb 3.29, 2 Nd 3.38
Pr  0.5000  0.0000  0.8376  4 Pr 3.21-3.52, 2 Tb 3.29, 2 Nd 3.38
Pr  0.5000  0.8376  0.0000  4 Pr 3.21-3.52, 2 Tb 3.29, 2 Nd 3.38
Nd  0.5000  0.6580  0.6580  2 Tb 3.37, 4 Pr 3.38-3.75, 2 Nd 3.52
Nd  0.5000  0.0000  0.3420  2 Tb 3.37, 4 Pr 3.38-3.75, 2 Nd 3.52
Nd  0.5000  0.3420  0.0000  2 Tb 3.37, 4 Pr 3.38-3.75, 2 Nd 3.52

Values from the calculation:
* energy above the most stable polymorph in this dataset: 3.3 meV per atom
* ΔH_f (0 K): 303 meV/atom
* electronic total energy: -4.433 eV/atom
* volume: 36.0 A^3/atom
* SG: No. 189